# 1
Entry from Alexandria via LeMat-Bulk: a geometry-optimized AcSmB structure (PBE).

* raw total energy: -5.1218 eV per atom

Geometry as extended XYZ:
```
6
Lattice="-2.7835 -1.7770 0.6096 3.6535 -0.4075 6.2448 -3.2637 5.9270 2.3753" Properties=species:S:1:pos:R:3 pbc="T T T"
Sm -2.2796 4.7158 3.3383
Sm -0.1141 -0.9733 5.8914
B -0.3601 -1.4644 3.3367
B -2.0336 5.2069 5.8930
Ac -0.3585 1.5214 2.7983
Ac -2.0352 2.2211 6.4314
```

# 2
Entry from Alexandria via LeMat-Bulk: a geometry-optimized Ac4Sn2B structure (PBE).

* raw total energy: -4.7746 eV per atom

Geometry as extended XYZ:
```
7
Lattice="-1.8162 4.6335 -1.9024 -4.3806 -0.4881 2.9932 7.1674 2.2571 6.1159" Properties=species:S:1:pos:R:3 pbc="T T T"
Ac -0.4296 4.9126 4.9144
Ac 1.4002 1.4900 2.2923
Ac -2.1903 -0.2441 1.4966
Ac -0.9081 2.3168 -0.9512
B 0.0000 0.0000 0.0000
Sn -1.9862 3.2562 2.3661
Sn 2.9569 3.1464 4.8406
```

# 3
Entry from Alexandria via LeMat-Bulk: a geometry-optimized AcSnB structure (PBE).

* raw total energy: -4.8379 eV per atom

Geometry as extended XYZ:
```
6
Lattice="-2.9434 -0.2841 -2.5862 -3.6580 -0.6940 1.2533 4.6806 12.7615 2.2275" Properties=species:S:1:pos:R:3 pbc="T T T"
Sn -0.9382 9.8899 1.8208
Sn -0.4894 7.0523 1.5977
Ac -2.2734 4.1902 0.9605
Ac -3.8351 -0.0096 0.2306
B -1.0903 6.2296 -0.6098
B 0.3771 11.1224 0.1889
```

# 4
Entry from Alexandria via LeMat-Bulk: a geometry-optimized SrAcB12 structure (PBE).

* raw total energy: -6.6373 eV per atom

Geometry as extended XYZ:
```
14
Lattice="5.1435 0.0000 2.9696 1.7145 4.8493 2.9696 0.0000 0.0000 5.9392" Properties=species:S:1:pos:R:3 pbc="T T T"
Sr 3.4290 2.4247 5.9392
Ac 0.0000 0.0000 0.0000
B 6.1662 4.3601 8.9087
B 2.7372 1.9355 2.9696
B 4.6321 4.3601 8.0231
B 1.2031 1.9355 2.0839
B 5.6548 2.9138 8.0231
B 2.2258 0.4892 2.0839
B 5.6548 2.9138 9.7944
B 2.2258 0.4892 3.8553
B 4.6321 4.3601 9.7944
B 1.2031 1.9355 3.8553
B 4.1208 2.9138 8.9087
B 0.6918 0.4892 2.9696
```

# 5
Entry from Alexandria via LeMat-Bulk: a geometry-optimized AcTbB12 structure (PBE).

* raw total energy: -6.8225 eV per atom

Geometry as extended XYZ:
```
14
Lattice="-0.7160 4.0905 0.1044 -2.8534 -0.5750 2.9636 5.8605 0.8775 5.8128" Properties=species:S:1:pos:R:3 pbc="T T T"
Ac 2.9303 0.4387 2.9064
Tb 0.0000 0.0000 0.0000
B -0.1287 0.7457 2.9320
B 2.8497 1.1917 5.8862
B 0.5488 2.1071 3.8485
B 3.5024 2.5494 6.7781
B 0.5128 2.1461 2.0738
B 3.4912 2.5920 5.0280
B -1.2113 1.8436 2.1028
B 1.7424 2.2858 5.0324
B -1.2001 1.8009 3.8529
B 1.7783 2.2468 6.8071
B -0.5585 3.2013 2.9946
B 2.4199 3.6472 5.9488
```

# 6
Entry from Alexandria via LeMat-Bulk: a geometry-optimized AcTc2B6 structure (PBE).

* raw total energy: -7.5908 eV per atom

Geometry as extended XYZ:
```
9
Lattice="-0.6282 -2.3883 -2.0947 4.9503 -2.9028 -0.6802 -0.4635 -4.8292 3.1398" Properties=species:S:1:pos:R:3 pbc="T T T"
Ac 0.0000 0.0000 0.0000
Tc 2.4400 -7.1134 -0.1293
Tc 1.4187 -3.0070 0.4942
B -0.3437 -4.4831 0.2056
B 4.2024 -5.6373 0.1593
B 1.6366 -6.5503 1.9697
B 2.6948 -4.7878 -0.3577
B 1.1638 -5.3326 0.7226
B 2.2221 -3.5701 -1.6048
```

# 7
Entry from Alexandria via LeMat-Bulk: a geometry-optimized AcTcB14 structure (PBE).

* raw total energy: -6.8086 eV per atom

Geometry as extended XYZ:
```
32
Lattice="5.4137 0.0000 2.4093 2.0002 6.7228 2.7926 -0.1161 0.0964 7.5480" Properties=species:S:1:pos:R:3 pbc="T T T"
Ac 2.0939 2.5483 2.5821
Ac 5.2040 4.2709 10.1678
Tc 2.6488 0.0482 4.9786
Tc -0.0580 0.0482 3.7740
B 4.2997 2.4964 4.9126
B 2.9981 4.3228 7.8373
B 2.3989 5.4804 9.1837
B 4.8989 1.3388 3.5662
B 1.0720 1.6875 4.8782
B 6.2258 5.1317 7.8716
B 3.3018 0.1937 7.1549
B 3.9960 6.6255 5.5949
B 0.5273 0.6398 6.1024
B 6.7706 6.1794 6.6475
B 3.5867 1.7436 6.5148
B 3.7112 5.0756 6.2350
B 5.0660 4.0562 5.5449
B 3.9809 2.7630 7.9833
B 2.7478 5.2731 3.4670
B 0.8854 1.5461 7.6520
B 2.2318 2.7630 7.2049
B 3.3170 4.0562 4.7665
B 4.5500 1.5461 9.2829
B 6.4125 5.2731 5.0979
B 3.5987 6.6411 10.0878
B 0.9599 0.1781 1.4431
B 5.1459 2.5501 6.6111
B 4.8264 4.2691 7.3290
B 3.6991 0.1781 2.6621
B 6.3379 6.6411 11.3068
B 2.1519 4.2691 6.1387
B 2.4714 2.5501 5.4209
```

# 8
Entry from Alexandria via LeMat-Bulk: a geometry-optimized AcTc4B4 structure (PBE).

* raw total energy: -8.3503 eV per atom

Geometry as extended XYZ:
```
18
Lattice="4.1647 0.0000 0.0000 0.0000 7.6456 0.0000 0.0000 0.0000 7.6456" Properties=species:S:1:pos:R:3 pbc="T T T"
Ac 0.0000 0.0000 0.0000
Ac 2.0824 3.8228 3.8228
Tc 1.5767 2.7605 6.7847
Tc 3.6591 4.6837 6.5833
Tc 1.5767 4.8851 0.8609
Tc 0.5057 1.0623 4.6837
Tc 2.5880 6.7847 4.8851
Tc 0.5057 6.5833 2.9619
Tc 3.6591 2.9619 1.0623
Tc 2.5880 0.8609 2.7605
B 2.5713 6.3522 2.2486
B 2.5713 1.2934 5.3970
B 0.4889 6.0714 5.1162
B 3.6758 2.5294 6.0714
B 3.6758 5.1162 1.5742
B 1.5934 2.2486 1.2934
B 1.5934 5.3970 6.3522
B 0.4889 1.5742 2.5294
```

no.,calculated formation energy (eV/atom)
1,0.047
2,-0.329
3,0.092
4,-0.500
5,-0.475
6,-0.379
7,-0.061
8,-0.319